1.
Here is a geometry-optimized HoTl3P2O8 structure from Alexandria via LeMat-Bulk. Energies are from PBE.

The space group is P-3m1 (No. 164) and the conventional cell measures 5.6972, 5.6972 and 8.3464 Å, with angles of 90.00, 90.00 and 120.00 degrees. The distinct sites, in fractional coordinates, are Ho at (0.0000, 0.0000, 0.0000), Tl at (0.0000, 0.0000, 0.5000), Tl at (0.3333, 0.6667, 0.2768), P at (0.3333, 0.6667, 0.7790), O at (0.1843, 0.3686, 0.8422) and O at (0.3333, 0.6667, 0.5945).

The calculation puts the density of states at the Fermi level at 0.0 states/eV per cell. The calculation puts the total energy at -6.590 eV per atom. For the uncorrected formation energy, the calculation gives -2.15 eV per atom.

***

2.
Here is a geometry-optimized HoZr6P9O36 structure from Alexandria via LeMat-Bulk. Energies are from PBE.

The space group is P-3c1 (No. 165) and the conventional cell measures 8.9751, 8.9751 and 22.6936 Å, with angles of 90.00, 90.00 and 120.00 degrees. The distinct sites, in fractional coordinates, are Ho at (0.0000, 0.0000, 0.0000), Zr at (0.0000, 0.0000, 0.1483), Zr at (0.3333, 0.6667, 0.0323), Zr at (0.3333, 0.6667, 0.3124), P at (0.0000, 0.2915, 0.2500), P at (0.0551, 0.3745, 0.9220), O at (0.0275, 0.1849, 0.9241), O at (0.0297, 0.2035, 0.1954), O at (0.1236, 0.4820, 0.5795), O at (0.1550, 0.4633, 0.9781), O at (0.1547, 0.4646, 0.8663) and O at (0.1589, 0.4673, 0.2592).

The calculation puts the density of states at the Fermi level at 0.0 states/eV per cell. The calculation puts the total energy at -8.202 eV per atom. For the uncorrected formation energy, the calculation gives -2.76 eV per atom.

***

3.
Here is a geometry-optimized HoPa2O6 structure from Alexandria via LeMat-Bulk. Energies are from PBE.

The space group is P-3m1 (No. 164) and the conventional cell measures 3.8652, 3.8652 and 9.2710 Å, with angles of 90.00, 90.00 and 120.00 degrees. The distinct sites, in fractional coordinates, are Ho at (0.0000, 0.0000, 0.0000), Pa at (0.3333, 0.6667, 0.6729), O at (0.0000, 0.0000, 0.2567), O at (0.3333, 0.6667, 0.4155) and O at (0.3333, 0.6667, 0.9080).

The calculation puts the density of states at the Fermi level at 5.7 states/eV per cell. The calculation puts the total energy at -9.595 eV per atom. For the uncorrected formation energy, the calculation gives -3.67 eV per atom.

***

4.
Here is a geometry-optimized Ho2Pa2O5 structure from Alexandria via LeMat-Bulk. Energies are from PBE.

The space group is P4/mmm (No. 123) and the conventional cell measures 4.358, 4.358 and 7.500 Å, with angles of 90.00, 90.00 and 90.00 degrees. The distinct sites, in fractional coordinates, are Ho at (0.000, 0.000, 0.222), Pa at (0.500, 0.500, 0.000), Pa at (0.500, 0.500, 0.500), O at (0.000, 0.000, 0.500) and O at (0.000, 0.500, 0.230).

The calculation puts the density of states at the Fermi level at 11.7 states/eV per cell. The calculation puts the total energy at -8.188 eV per atom. For the uncorrected formation energy, the calculation gives -2.31 eV per atom.

***

5.
Here is a geometry-optimized HoPaO4 structure from Alexandria via LeMat-Bulk. Energies are from PBE.

The space group is I4_1/amd (No. 141, origin choice 2) and the conventional cell measures 5.380, 5.380 and 10.749 Å, with angles of 90.00, 90.00 and 90.00 degrees. The distinct sites, in fractional coordinates, are Ho at (0.000, 0.250, 0.375), Pa at (0.000, 0.250, 0.875) and O at (0.241, 0.000, 0.000).

The calculation puts the density of states at the Fermi level at 0.0 states/eV per cell. The calculation puts the total energy at -9.385 eV per atom. For the uncorrected formation energy, the calculation gives -3.73 eV per atom.

***

6.
Here is a geometry-optimized Ho3PaO7 structure from Alexandria via LeMat-Bulk. Energies are from PBE.

The space group is Cmcm (No. 63) and the conventional cell measures 7.608, 10.804 and 7.683 Å, with angles of 90.00, 90.00 and 90.00 degrees. The distinct sites, in fractional coordinates, are Ho at (0.000, 0.000, 0.000), Ho at (0.231, 0.261, 0.250), Pa at (0.000, 0.500, 0.000), O at (0.000, 0.132, 0.250), O at (0.000, 0.135, 0.750), O at (0.000, 0.399, 0.250) and O at (0.214, 0.374, 0.531).

The calculation puts the density of states at the Fermi level at 0.0 states/eV per cell. The calculation puts the total energy at -8.850 eV per atom. For the uncorrected formation energy, the calculation gives -3.58 eV per atom.